This record from Alexandria via LeMat-Bulk describes a relaxed structure of Ba2Li3InAg4. The functional is GGA-PBE.

## Properties
Space group: P-4m2 (115)
Spin magnetization, μB per formula unit: 0.00
Energy of formation from the pure elements, kJ/mol of atoms: -22.02
Fermi-level density of states, states/eV/f.u.: 5.24
Crystal system: tetragonal
Calculated density, g/cm3: 5.4

Unit cell a=4.8223 b=4.8223 c=11.0800 alpha=90.00 beta=90.00 gamma=90.00
Last column: nearest neighbours and their distance in Å.
Fractional coordinates of all 10 atoms:
Ag (0.5000, 0.5000, 0.0000)  4 Li 2.70
Ag (0.0000, 0.0000, 0.0000)  4 Li 2.70
Ag (0.0000, 0.5000, 0.3619)  3 Li 2.79-2.86, 2 In 2.86
Ba (0.0000, 0.5000, 0.7586)  8 Ag 3.60-3.66, 7 Li 3.71-3.89, 2 In 3.75
Ag (0.5000, 0.0000, 0.6381)  3 Li 2.79-2.86, 2 In 2.86
Li (0.5000, 0.0000, 0.8901)  5 Ag 2.70-2.79
In (0.5000, 0.5000, 0.5000)  4 Ag 2.86
Ba (0.5000, 0.0000, 0.2414)  8 Ag 3.60-3.66, 7 Li 3.71-3.89, 2 In 3.75
Li (0.0000, 0.0000, 0.5000)  4 Ag 2.86
Li (0.0000, 0.5000, 0.1099)  5 Ag 2.70-2.79



This record from Alexandria via LeMat-Bulk describes a relaxed structure of Ba2Li3InAg12. The functional is GGA-PBE.

## Properties
Space group: R-3m (166)
Spin magnetization, μB per formula unit: 0.00
Energy of formation from the pure elements, kJ/mol of atoms: -2.27
Fermi-level density of states, states/eV/f.u.: 5.47
Crystal system: trigonal
Calculated density, g/cm3: 6.7

Unit cell a=10.8977 b=10.8977 c=10.8977 alpha=37.06 beta=37.06 gamma=37.06
Last column: nearest neighbours and their distance in Å.
Fractional coordinates of all 18 atoms:
Li (0.5000, 0.0000, 0.0000)  6 Ag 2.57-2.85
Li (0.0000, 0.5000, 0.0000)  6 Ag 2.57-2.85
Ag (0.9289, 0.3622, 0.9289)  4 Ag 2.80-3.00, 1 In 2.82, 1 Li 2.85
Ba (0.3544, 0.3544, 0.3544)  12 Ag 3.52-3.82
Ag (0.4085, 0.8106, 0.4085)  2 Li 2.57, 4 Ag 2.79-2.80
Ag (0.5915, 0.1894, 0.5915)  2 Li 2.57, 4 Ag 2.79-2.80
Ag (0.5915, 0.5915, 0.1894)  2 Li 2.57, 4 Ag 2.79-2.80
Li (0.0000, 0.0000, 0.5000)  6 Ag 2.57-2.85
Ag (0.0711, 0.6378, 0.0711)  4 Ag 2.80-3.00, 1 In 2.82, 1 Li 2.85
Ag (0.9289, 0.9289, 0.3622)  4 Ag 2.80-3.00, 1 In 2.82, 1 Li 2.85
Ba (0.6456, 0.6456, 0.6456)  12 Ag 3.52-3.82
In (0.0000, 0.0000, 0.0000)  6 Ag 2.82
Ag (0.1894, 0.5915, 0.5915)  2 Li 2.57, 4 Ag 2.79-2.80
Ag (0.4085, 0.4085, 0.8106)  2 Li 2.57, 4 Ag 2.79-2.80
Ag (0.6378, 0.0711, 0.0711)  4 Ag 2.80-3.00, 1 In 2.82, 1 Li 2.85
Ag (0.8106, 0.4085, 0.4085)  2 Li 2.57, 4 Ag 2.79-2.80
Ag (0.0711, 0.0711, 0.6378)  4 Ag 2.80-3.00, 1 In 2.82, 1 Li 2.85
Ag (0.3622, 0.9289, 0.9289)  4 Ag 2.80-3.00, 1 In 2.82, 1 Li 2.85



This record from Alexandria via LeMat-Bulk describes a relaxed structure of Ba2Li3In12Ag. The functional is GGA-PBE.

## Properties
Space group: R-3m (166)
Spin magnetization, μB per formula unit: 0.00
Energy of formation from the pure elements, kJ/mol of atoms: -12.76
Fermi-level density of states, states/eV/f.u.: 8.83
Crystal system: trigonal
Calculated density, g/cm3: 5.8

Unit cell a=11.9526 b=11.9526 c=11.9526 alpha=35.34 beta=35.34 gamma=35.34
Last column: nearest neighbours and their distance in Å.
Fractional coordinates of all 18 atoms:
In (0.8198, 0.4063, 0.4063)  2 Li 2.73, 4 In 3.00-3.04
Li (0.0000, 0.5000, 0.0000)  4 In 2.73
Li (0.5000, 0.0000, 0.0000)  4 In 2.73
In (0.9077, 0.9077, 0.3796)  1 Ag 2.94, 2 In 3.04
Li (0.0000, 0.0000, 0.5000)  4 In 2.73
Ba (0.6411, 0.6411, 0.6411)  12 In 3.69-3.86
In (0.4063, 0.8198, 0.4063)  2 Li 2.73, 4 In 3.00-3.04
In (0.0923, 0.6204, 0.0923)  1 Ag 2.94, 2 In 3.04
In (0.6204, 0.0923, 0.0923)  1 Ag 2.94, 2 In 3.04
In (0.5937, 0.5937, 0.1802)  2 Li 2.73, 4 In 3.00-3.04
In (0.1802, 0.5937, 0.5937)  2 Li 2.73, 4 In 3.00-3.04
Ag (0.0000, 0.0000, 0.0000)  6 In 2.94
In (0.4063, 0.4063, 0.8198)  2 Li 2.73, 4 In 3.00-3.04
Ba (0.3589, 0.3589, 0.3589)  12 In 3.69-3.86
In (0.9077, 0.3796, 0.9077)  1 Ag 2.94, 2 In 3.04
In (0.0923, 0.0923, 0.6204)  1 Ag 2.94, 2 In 3.04
In (0.5937, 0.1802, 0.5937)  2 Li 2.73, 4 In 3.00-3.04
In (0.3796, 0.9077, 0.9077)  1 Ag 2.94, 2 In 3.04



This record from Alexandria via LeMat-Bulk describes a relaxed structure of BaLiInAg2. The functional is GGA-PBE.

## Properties
Space group: P4/mmm (123)
Spin magnetization, μB per formula unit: 0.00
Energy of formation from the pure elements, kJ/mol of atoms: -9.38
Fermi-level density of states, states/eV/f.u.: 2.81
Crystal system: tetragonal
Calculated density, g/cm3: 5.9
Distance to the lowest polymorph of the same formula, meV per atom: 175

Unit cell a=5.0984 b=5.0984 c=5.1051 alpha=90.00 beta=90.00 gamma=90.00
Last column: nearest neighbours and their distance in Å.
Fractional coordinates of all 5 atoms:
In (0.0000, 0.0000, 0.5000)  2 Li 2.55
Ag (0.5000, 0.0000, 0.0000)  2 Li 2.55
Ba (0.5000, 0.5000, 0.5000)  4 In 3.61, 8 Ag 3.61
Ag (0.0000, 0.5000, 0.0000)  2 Li 2.55
Li (0.0000, 0.0000, 0.0000)  4 Ag 2.55, 2 In 2.55